(1)
# PBEsol Sr4P2O, relaxed
# Formation energy from raw total energies (eV/atom): -1.5636
data_Sr4P2O
_space_group_name_H-M_alt 'I 4/m m m'
_space_group_IT_number 139
_space_group_name_Hall '-I 4 2'
_cell_length_a 4.773
_cell_length_b 4.773
_cell_length_c 15.824
_cell_angle_alpha 90.00
_cell_angle_beta 90.00
_cell_angle_gamma 90.00
loop_
_atom_site_label
_atom_site_type_symbol
_atom_site_fract_x
_atom_site_fract_y
_atom_site_fract_z
_atom_site_occupancy
Sr1 Sr 0.000 0.000 0.175 1
Sr2 Sr 0.000 0.500 0.000 1
P1 P 0.000 0.000 0.365 1
O1 O 0.000 0.000 0.000 1

(2)
# PBEsol SrTaP2O, relaxed
# N(E_F) (states/eV/f.u.): 2.72
# Formation energy from raw total energies (eV/atom): -1.2080
data_SrTaP2O
_space_group_name_H-M_alt 'P 4/m m m'
_space_group_IT_number 123
_space_group_name_Hall '-P 4 2'
_cell_length_a 4.933
_cell_length_b 4.933
_cell_length_c 3.956
_cell_angle_alpha 90.00
_cell_angle_beta 90.00
_cell_angle_gamma 90.00
loop_
_atom_site_label
_atom_site_type_symbol
_atom_site_fract_x
_atom_site_fract_y
_atom_site_fract_z
_atom_site_occupancy
Sr1 Sr 0.000 0.000 0.000 1
Ta1 Ta 0.500 0.500 0.500 1
P1 P 0.000 0.500 0.500 1
O1 O 0.500 0.500 0.000 1

(3)
# PBEsol SrTaPO2, relaxed
# N(E_F) (states/eV/f.u.): 0.36
# Formation energy from raw total energies (eV/atom): -2.0356
data_SrTaPO2
_space_group_name_H-M_alt 'P 4/m m m'
_space_group_IT_number 123
_space_group_name_Hall '-P 4 2'
_cell_length_a 4.047
_cell_length_b 4.047
_cell_length_c 4.979
_cell_angle_alpha 90.00
_cell_angle_beta 90.00
_cell_angle_gamma 90.00
loop_
_atom_site_label
_atom_site_type_symbol
_atom_site_fract_x
_atom_site_fract_y
_atom_site_fract_z
_atom_site_occupancy
Sr1 Sr 0.000 0.000 0.000 1
Ta1 Ta 0.500 0.500 0.500 1
P1 P 0.500 0.500 0.000 1
O1 O 0.000 0.500 0.500 1